Entry 1:
The following is a PBE calculation of a geometry-optimized BIrOs structure, from Alexandria.

## Properties
The value obtained for the spin magnetization is 0.000 μB/f.u. The calculation puts the total energy at -26.43 eV per cell.

a = 5.0275 Å, b = 5.0275 Å, c = 5.0275 Å
α = 148.30°, β = 148.30°, γ = 45.45°
With the nearest neighbours (Å) after each atom.
Fractional coordinates of all 3 atoms:
B 0.0000 0.0000 0.0000  4 Os 2.29, 4 Ir 2.41
Ir 0.3462 0.3462 0.0000  4 B 2.41, 1 Os 2.64
Os 0.6312 0.6312 0.0000  4 B 2.29

***

Entry 2:
The following is a PBE calculation of a geometry-optimized LaZr2Tl structure, from Alexandria.

## Properties
The value obtained for the spin magnetization is 0.000 μB/f.u. The value obtained for the energy above the most stable polymorph in this dataset is 9.93 kJ per mole of atoms. The calculation puts the total energy at -24.10 eV per cell.

a = 5.2621 Å, b = 5.2621 Å, c = 5.2621 Å
α = 60.00°, β = 60.00°, γ = 60.00°
With the nearest neighbours (Å) after each atom.
Fractional coordinates of all 4 atoms:
La 0.0000 0.0000 0.0000  4 Tl 3.22, 4 Zr 3.22
Zr 0.2500 0.2500 0.2500  4 Zr 3.22, 4 La 3.22
Zr 0.5000 0.5000 0.5000  4 Zr 3.22, 4 Tl 3.22
Tl 0.7500 0.7500 0.7500  4 Zr 3.22, 4 La 3.22

***

Entry 3:
The following is a PBE calculation of a geometry-optimized Tb4C2S structure, from Alexandria.

## Properties
The value obtained for the spin magnetization is 0.001 μB/f.u. The calculation puts the total energy at -92.55 eV per cell. The uncorrected formation energy comes out at -0.74 eV per atom.

a = 6.3957 Å, b = 6.3957 Å, c = 12.2514 Å
α = 90.00°, β = 90.00°, γ = 146.23°
With the nearest neighbours (Å) after each atom.
Fractional coordinates of all 14 atoms:
Tb 0.0000 0.0000 0.0000  4 C 2.62
Tb 0.0000 0.0000 0.5000  4 C 2.62
Tb 0.2645 0.7355 0.6108  3 C 2.42-2.49
Tb 0.2645 0.7355 0.8892  3 C 2.42-2.49
Tb 0.4378 0.5622 0.2500  2 C 2.49, 2 S 2.77
Tb 0.5622 0.4378 0.7500  2 C 2.49, 2 S 2.77
Tb 0.7355 0.2645 0.1108  3 C 2.42-2.49
Tb 0.7355 0.2645 0.3892  3 C 2.42-2.49
C 0.3622 0.6378 0.0614  6 Tb 2.42-2.62
C 0.3622 0.6378 0.4386  6 Tb 2.42-2.62
C 0.6378 0.3622 0.5614  6 Tb 2.42-2.62
C 0.6378 0.3622 0.9386  6 Tb 2.42-2.62
S 0.1058 0.8942 0.2500  6 Tb 2.77-2.98
S 0.8942 0.1058 0.7500  6 Tb 2.77-2.98

***

Entry 4:
The following is a PBE calculation of a geometry-optimized Pr2ZrC2Br2 structure, from Alexandria.

## Properties
The value obtained for the spin magnetization is 0.000 μB/f.u. The calculation puts the total energy at -45.40 eV per cell. The uncorrected formation energy comes out at -0.79 eV per atom.

a = 8.5403 Å, b = 8.5403 Å, c = 8.5403 Å
α = 149.80°, β = 149.80°, γ = 43.23°
With the nearest neighbours (Å) after each atom.
Fractional coordinates of all 7 atoms:
Pr 0.0977 0.0977 0.0000  4 C 2.71
Pr 0.9023 0.9023 0.0000  4 C 2.71
Zr 0.5000 0.5000 0.0000  4 C 2.22
C 0.0000 0.5000 0.5000  2 Zr 2.22
C 0.5000 0.0000 0.5000  2 Zr 2.22
Br 0.3157 0.3157 0.0000  1 Zr 2.93
Br 0.6843 0.6843 0.0000  1 Zr 2.93

***

Entry 5:
The following is a PBE calculation of a geometry-optimized LiTlC2O6 structure, from Alexandria.

## Properties
The value obtained for the spin magnetization is 0.000 μB/f.u. The calculation puts the total energy at -66.00 eV per cell. The uncorrected formation energy comes out at -1.35 eV per atom.

a = 6.0001 Å, b = 6.0001 Å, c = 6.0001 Å
α = 48.07°, β = 48.07°, γ = 48.07°
With the nearest neighbours (Å) after each atom.
Fractional coordinates of all 10 atoms:
Li 0.0000 0.0000 0.0000  6 O 2.18
Tl 0.5000 0.5000 0.5000  6 O 2.32
C 0.2502 0.2502 0.2502  3 O 1.30
C 0.7498 0.7498 0.7498  3 O 1.30
O 0.0026 0.4730 0.7727  1 C 1.30
O 0.2273 0.9974 0.5270  1 C 1.30
O 0.4730 0.7727 0.0026  1 C 1.30
O 0.5270 0.2273 0.9974  1 C 1.30
O 0.7727 0.0026 0.4730  1 C 1.30
O 0.9974 0.5270 0.2273  1 C 1.30

***

Entry 6:
The following is a PBE calculation of a geometry-optimized SrFe2Pb structure, from Alexandria.

## Properties
The value obtained for the spin magnetization is 5.384 μB/f.u. The calculation puts the total energy at -19.63 eV per cell.

a = 4.6422 Å, b = 4.6422 Å, c = 4.0917 Å
α = 90.00°, β = 90.00°, γ = 90.00°
With the nearest neighbours (Å) after each atom.
Fractional coordinates of all 4 atoms:
Sr 0.0000 0.0000 0.0000  8 Fe 3.09, 4 Pb 3.28
Fe 0.0000 0.5000 0.5000  4 Pb 3.09, 4 Sr 3.09, 4 Fe 3.28
Fe 0.5000 0.0000 0.5000  4 Pb 3.09, 4 Sr 3.09, 4 Fe 3.28
Pb 0.5000 0.5000 0.0000  8 Fe 3.09, 4 Sr 3.28

***

Entry 7:
The following is a PBE calculation of a geometry-optimized Rb2SnPbSe4 structure, from Alexandria.

## Properties
The value obtained for the spin magnetization is 0.000 μB/f.u. The calculation puts the total energy at -29.65 eV per cell. The uncorrected formation energy comes out at -0.76 eV per atom.

a = 7.4501 Å, b = 7.4501 Å, c = 7.4501 Å
α = 112.99°, β = 112.99°, γ = 102.64°
With the nearest neighbours (Å) after each atom.
Fractional coordinates of all 8 atoms:
Rb 0.0000 0.0000 0.0000  4 Se 3.36
Rb 0.7500 0.2500 0.5000  8 Se 3.89-3.97
Sn 0.2500 0.7500 0.5000  4 Se 2.57
Pb 0.5000 0.5000 0.0000  4 Se 2.95
Se 0.2260 0.1001 0.5380  1 Sn 2.57
Se 0.3120 0.7740 0.8741  1 Sn 2.57
Se 0.5621 0.6880 0.4620  1 Sn 2.57
Se 0.8999 0.4379 0.1259  1 Sn 2.57

***

Entry 8:
The following is a PBE calculation of a geometry-optimized La2InAs structure, from Alexandria.

## Properties
The value obtained for the spin magnetization is 0.000 μB/f.u. The value obtained for the energy above the most stable polymorph in this dataset is 25.72 kJ per mole of atoms. The calculation puts the total energy at -19.91 eV per cell.

a = 5.4513 Å, b = 5.4513 Å, c = 5.4513 Å
α = 60.00°, β = 60.00°, γ = 60.00°
With the nearest neighbours (Å) after each atom.
Fractional coordinates of all 4 atoms:
La 0.2500 0.2500 0.2500  4 As 3.34, 4 In 3.34
La 0.7500 0.7500 0.7500  4 As 3.34, 4 In 3.34
In 0.0000 0.0000 0.0000  8 La 3.34
As 0.5000 0.5000 0.5000  8 La 3.34

***

Entry 9:
The following is a PBE calculation of a geometry-optimized CsAlV2As structure, from Alexandria.

## Properties
The value obtained for the spin magnetization is 8.156 μB/f.u. The calculation puts the total energy at -15.55 eV per cell.

a = 5.4724 Å, b = 5.4724 Å, c = 5.7561 Å
α = 90.00°, β = 90.00°, γ = 90.00°
With the nearest neighbours (Å) after each atom.
Fractional coordinates of all 5 atoms:
Cs 0.0000 0.0000 0.0000  4 V 2.74, 2 As 2.88
Al 0.5000 0.5000 0.5000  4 As 3.87, 8 V 3.97
V 0.0000 0.5000 0.0000  2 Cs 2.74
V 0.5000 0.0000 0.0000  2 Cs 2.74
As 0.0000 0.0000 0.5000  2 Cs 2.88

***

Entry 10:
The following is a PBE calculation of a geometry-optimized I3Cl structure, from Alexandria.

## Properties
The value obtained for the spin magnetization is 0.000 μB/f.u. The calculation puts the total energy at -6.33 eV per cell. The uncorrected formation energy comes out at 0.04 eV per atom.

a = 5.0354 Å, b = 5.3026 Å, c = 7.9593 Å
α = 72.92°, β = 89.58°, γ = 81.60°
With the nearest neighbours (Å) after each atom.
Fractional coordinates of all 4 atoms:
I 0.0000 0.0000 0.0000  2 I 2.85-2.86
I 0.0929 0.4300 0.1267  2 I 2.85-2.86
I 0.5033 0.5174 0.5646  2 Cl 2.68-2.72
Cl 0.6081 0.0010 0.5598  2 I 2.68-2.72

***

Number 1: Fermi-level density of states 2.2 states/eV/f.u., ρ 18.67 Mg/m³. Number 2: Fermi-level density of states 1.7 states/eV/f.u., ρ 8.47 Mg/m³. Number 3: Fermi-level density of states 3.7 states/eV/f.u., ρ 8.25 Mg/m³. Number 4: Fermi-level density of states 0.5 states/eV/f.u., ρ 5.88 Mg/m³. Number 5: Fermi-level density of states 0.0 states/eV/f.u., ρ 5.02 Mg/m³. Number 6: Fermi-level density of states 6.0 states/eV/f.u., ρ 7.66 Mg/m³. Number 7: Fermi-level density of states 0.0 states/eV/f.u., ρ 4.28 Mg/m³. Number 8: Fermi-level density of states 6.7 states/eV/f.u., ρ 6.78 Mg/m³. Number 9: Fermi-level density of states 7.2 states/eV/f.u., ρ 3.24 Mg/m³. Number 10: Fermi-level density of states 0.9 states/eV/f.u., ρ 3.44 Mg/m³.